DFT (PBE) results for a relaxed structure of Tl8InBi5.

a = 8.4513 Å, b = 8.4513 Å, c = 8.4513 Å
α = 110.63°, β = 110.63°, γ = 107.18°
With the nearest neighbours (Å) after each atom.
Fractional coordinates of all 14 atoms:
1 Tl 0.1852 0.3921 0.5849  1 In 3.15, 5 Bi 3.23-3.50
2 Tl 0.3308 0.2179 0.2291  5 Bi 3.34-3.66, 4 Tl 3.47-3.66
3 Tl 0.3998 0.8148 0.2070  1 In 3.15, 5 Bi 3.23-3.50
4 Tl 0.6079 0.1928 0.7930  1 In 3.15, 5 Bi 3.23-3.50
5 Tl 0.7821 0.0112 0.1130  5 Bi 3.34-3.66, 4 Tl 3.47-3.66
6 Tl 0.8072 0.6002 0.4151  1 In 3.15, 5 Bi 3.23-3.50
7 Tl 0.8982 0.6692 0.8870  5 Bi 3.34-3.66, 4 Tl 3.47-3.66
8 Tl 0.9888 0.1018 0.7709  5 Bi 3.34-3.66, 4 Tl 3.47-3.66
9 In 0.5000 0.5000 0.0000  4 Tl 3.15
10 Bi 0.0733 0.4801 0.2016  8 Tl 3.29-3.66, 2 Bi 3.35
11 Bi 0.1283 0.9267 0.4068  8 Tl 3.29-3.66, 2 Bi 3.35
12 Bi 0.2785 0.8717 0.7984  8 Tl 3.29-3.66, 2 Bi 3.35
13 Bi 0.5199 0.7215 0.5932  8 Tl 3.29-3.66, 2 Bi 3.35
14 Bi 0.7500 0.2500 0.5000  8 Tl 3.23-3.34

Results
D(E_F): 0.456 states/eV/atom
energy of formation: 0.066 eV/atom